[1]
Material: GaIrIN2
Method: DFT, PBEsol
State: optimized geometry

Properties
Symmetry: P4/mmm, No. 123
Formation energy without anion corrections in eV per atom: 1.708

a b c (Å): 3.7910 3.7910 6.0301
angles (deg): 90.00 90.00 90.00
Positions (direct):
Ga  0.0000  0.0000  0.0000
Ir  0.5000  0.5000  0.5000
I  0.0000  0.0000  0.5000
N  0.0000  0.5000  0.0000
N  0.5000  0.0000  0.0000



[2]
Material: Zn2AsP
Method: DFT, PBEsol
State: optimized geometry

Properties
Symmetry: Pmmm, No. 47
E above lowest polymorph in eV/atom: 0.0000
Energy of formation from the pure elements in eV per atom: 0.2738

a b c (Å): 3.6345 3.6693 4.8654
angles (deg): 90.00 90.00 90.00
Positions (direct):
Zn  0.0000  0.0000  0.0000
Zn  0.5000  0.0000  0.5000
As  0.0000  0.5000  0.5000
P  0.5000  0.5000  0.0000



[3]
Material: RbTi2GaS
Method: DFT, PBEsol
State: optimized geometry

Properties
Symmetry: P4/mmm, No. 123
Formation energy without anion corrections in eV per atom: 0.287

a b c (Å): 4.6191 4.6191 5.5972
angles (deg): 90.00 90.00 90.00
Positions (direct):
Rb  0.0000  0.0000  0.0000
Ti  0.0000  0.5000  0.5000
Ti  0.5000  0.0000  0.5000
Ga  0.5000  0.5000  0.0000
S  0.5000  0.5000  0.5000



[4]
Material: BeSb4Pb
Method: DFT, PBEsol
State: optimized geometry

Properties
Symmetry: F-43m, No. 216
Formation energy without anion corrections in eV per atom: 0.628

a b c (Å): 6.1663 6.1663 6.1663
angles (deg): 60.00 60.00 60.00
Positions (direct):
Be  0.0000  0.0000  0.0000
Sb  0.1235  0.6255  0.6255
Sb  0.6255  0.1235  0.6255
Sb  0.6255  0.6255  0.1235
Sb  0.6255  0.6255  0.6255
Pb  0.2500  0.2500  0.2500



[5]
Material: ScTaHg3
Method: DFT, PBEsol
State: optimized geometry

Properties
Symmetry: Pm-3m, No. 221
Energy of formation from the pure elements in eV per atom: 1.4070

a b c (Å): 5.0977 5.0977 5.0977
angles (deg): 90.00 90.00 90.00
Positions (direct):
Sc  0.0000  0.0000  0.0000
Ta  0.5000  0.5000  0.5000
Hg  0.0000  0.0000  0.5000
Hg  0.0000  0.5000  0.0000
Hg  0.5000  0.0000  0.0000



[6]
Material: NaTi2P3O12
Method: DFT, PBEsol
State: optimized geometry

Properties
Symmetry: P1, No. 1
E above lowest polymorph in eV/atom: 0.6983
Formation energy without anion corrections in eV per atom: -1.879

a b c (Å): 8.8068 8.8540 8.8873
angles (deg): 94.18 116.79 116.66
Positions (direct):
Na  0.0000  0.0000  0.0000
Na  0.3312  0.4048  0.0435
Ti  0.0657  0.5372  0.1781
Ti  0.4482  0.7852  0.9103
Ti  0.5361  0.2969  0.4511
Ti  0.9390  0.9701  0.5843
P  0.1238  0.3056  0.4794
P  0.4258  0.4450  0.7256
P  0.4811  0.9639  0.4716
P  0.6636  0.1336  0.9761
P  0.7235  0.1777  0.3699
P  0.9743  0.6775  0.6192
O  0.0280  0.1007  0.4313
O  0.0305  0.8117  0.5258
O  0.0601  0.7514  0.1006
O  0.0636  0.1235  0.7848
O  0.0914  0.4542  0.0266
O  0.1436  0.6631  0.7555
O  0.1472  0.3961  0.3475
O  0.3408  0.7619  0.3827
O  0.3422  0.2307  0.2438
O  0.4472  0.0165  0.9310
O  0.4471  0.3715  0.8729
O  0.4805  0.7227  0.0869
O  0.4819  0.6419  0.7660
O  0.5227  0.4053  0.6298
O  0.5645  0.9770  0.6810
O  0.6594  0.1648  0.7927
O  0.6911  0.0143  0.4617
O  0.7316  0.7634  0.5863
O  0.7415  0.0066  0.0167
O  0.7775  0.4958  0.4855
O  0.7892  0.3220  0.1076
O  0.8750  0.6168  0.0427
O  0.9080  0.7682  0.7300
O  0.9623  0.3271  0.5091